This record from Alexandria describes SrEuYMg after structural relaxation. The functional is PBE.

Summary:
E: -4.885 eV/atom
N(E_F): 3.601 states/eV/cell
formation energy from the elements: 119 meV per atom
V: 142 Å³/cell
crystal system: cubic

Lattice parameters (Å, degrees): 5.8600 5.8600 5.8600 60.00 60.00 60.00
With the nearest neighbours (Å) after each atom.
Atoms (fractional coordinates):
Sr 0.2500 0.2500 0.2500  4 Eu 3.59, 4 Mg 3.59
Eu 0.5000 0.5000 0.5000  4 Sr 3.59, 4 Y 3.59
Y 0.7500 0.7500 0.7500  4 Mg 3.59, 4 Eu 3.59
Mg 0.0000 0.0000 0.0000  4 Y 3.59, 4 Sr 3.59